The following is a PBE-GGA calculation of PmPd3Pt after structural relaxation, from Alexandria.

Cell lengths 7.0274, 7.0274, 7.0274 Å; angles 85.46, 113.28, 133.16 degrees
Element x y z (fractional)
Pt1 0.5000 0.0000 0.5000
Pt2 0.5000 0.5000 0.0000
Pd1 0.5000 0.3557 0.3557
Pd2 0.5000 0.6443 0.6443
Pd3 0.4680 0.7180 0.2500
Pd4 0.5320 0.2820 0.7500
Pd5 0.0000 0.6443 0.1443
Pd6 0.0000 0.3557 0.8557
Pm1 0.0520 0.8020 0.7500
Pm2 0.9480 0.1980 0.2500

Properties
Calculated formation energy   -0.240 eV/atom
ΔE to the lowest computed polymorph   257 meV per atom
Crystal system   orthorhombic
Density   9.82 g/cm3
Density of states at the Fermi level   5.93 states/eV per cell
Energy   -5.51 eV/atom

=====

The following is a PBE-GGA calculation of TlSiTc2 after structural relaxation, from Alexandria.

Cell lengths 3.1891, 4.4505, 4.4505 Å; angles 90.00, 90.00, 90.00 degrees
Element x y z (fractional)
Tc1 0.0000 0.0000 0.0000
Tc2 0.0000 0.5000 0.5000
Tl1 0.5000 0.5000 0.0000
Si1 0.5000 0.0000 0.5000

Properties
ΔE_f (raw)   0.478 eV/atom
ΔE to the lowest computed polymorph   343 meV per atom
Crystal system   tetragonal
Density   11.26 g/cm3
Density of states at the Fermi level   5.09 states/eV per cell
Energy   -6.65 eV/atom

=====

The following is a PBE-GGA calculation of Li2PW after structural relaxation, from Alexandria.

Cell lengths 3.1753, 3.1753, 5.7038 Å; angles 90.00, 90.00, 90.00 degrees
Element x y z (fractional)
W1 0.5000 0.5000 0.7195
Li1 0.5000 0.5000 0.2434
Li2 0.0000 0.0000 0.0024
P1 0.0000 0.0000 0.5347

Properties
Calculated formation energy   -0.078 eV/atom
Crystal system   tetragonal
Density   6.60 g/cm3
Density of states at the Fermi level   1.91 states/eV per cell
Energy   -5.63 eV/atom

=====

The following is a PBE-GGA calculation of TlFeTc2 after structural relaxation, from Alexandria.

Cell lengths 2.9595, 2.9595, 7.4902 Å; angles 90.00, 90.00, 90.00 degrees
Element x y z (fractional)
Tl1 0.0000 0.0000 0.5054
Tc1 0.5000 0.5000 0.2077
Tc2 0.0000 0.0000 0.0059
Fe1 0.5000 0.5000 0.7810

Properties
Calculated formation energy   0.419 eV/atom
ΔE to the lowest computed polymorph   0 meV per atom
Crystal system   tetragonal
Density   11.55 g/cm3
Density of states at the Fermi level   4.74 states/eV per cell
Energy   -7.47 eV/atom

=====

The following is a PBE-GGA calculation of EuAs2Pd after structural relaxation, from Alexandria.

Cell lengths 4.0342, 4.0342, 8.3062 Å; angles 75.95, 75.95, 60.00 degrees
Element x y z (fractional)
Eu1 0.0000 0.0000 0.0000
As1 0.1248 0.1248 0.6255
As2 0.8752 0.8752 0.3745
Pd1 0.5000 0.5000 0.5000

Properties
Calculated formation energy   -0.187 eV/atom
Crystal system   trigonal
Density   6.03 g/cm3
Density of states at the Fermi level   8.55 states/eV per cell
Energy   -6.38 eV/atom

=====

The following is a PBE-GGA calculation of CdFe2Pt after structural relaxation, from Alexandria.

Cell lengths 4.7777, 4.7777, 4.7777 Å; angles 131.61, 131.61, 70.84 degrees
Element x y z (fractional)
Fe1 0.2500 0.7500 0.5000
Fe2 0.0000 0.0000 0.0000
Cd1 0.7500 0.2500 0.5000
Pt1 0.5000 0.5000 0.0000

Properties
Calculated formation energy   0.064 eV/atom
Crystal system   tetragonal
Density   11.66 g/cm3
Density of states at the Fermi level   5.20 states/eV per cell
Energy   -5.91 eV/atom

=====

The following is a PBE-GGA calculation of Li4Ga5 after structural relaxation, from Alexandria.

Cell lengths 4.5095, 4.4600, 9.9055 Å; angles 57.97, 76.84, 59.63 degrees
Element x y z (fractional)
Ga1 0.6598 0.5493 0.1311
Ga2 0.6625 0.2227 0.4522
Ga3 0.0000 0.0000 0.0000
Ga4 0.3402 0.4507 0.8689
Ga5 0.3375 0.7773 0.5478
Li1 0.3272 0.1423 0.2033
Li2 0.6728 0.8577 0.7967
Li3 0.0000 0.6695 0.3304
Li4 0.0000 0.3305 0.6696

Properties
Calculated formation energy   -0.256 eV/atom
Crystal system   monoclinic
Density   4.30 g/cm3
Density of states at the Fermi level   2.21 states/eV per cell
Energy   -2.79 eV/atom

=====

The following is a PBE-GGA calculation of Th4SiBi2Sb after structural relaxation, from Alexandria.

Cell lengths 4.4450, 7.8687, 7.7628 Å; angles 71.12, 90.00, 90.00 degrees
Element x y z (fractional)
Th1 0.0000 0.2712 0.2594
Th2 0.5000 0.2797 0.7255
Th3 0.5000 0.7203 0.2745
Th4 0.0000 0.7288 0.7406
Si1 0.0000 0.5000 0.5000
Sb1 0.5000 0.5000 0.0000
Bi1 0.0000 0.0000 0.0000
Bi2 0.5000 0.0000 0.5000

Properties
ΔE_f (raw)   -0.709 eV/atom
Crystal system   monoclinic
Density   9.67 g/cm3
Density of states at the Fermi level   4.73 states/eV per cell
Energy   -6.58 eV/atom

=====

Among the records above, which one has the highest energy? Li4Ga5

=====

Among the records above, which one has the lowest energy? TlFeTc2

=====

What is the density in the eighth record? 9.67 g/cm3

=====

Which of these has the lowest energy? TlFeTc2